w.
This record from the Alexandria database describes a geometry-optimized Mg3TlBi structure. The functional is PBE-GGA. Values from VASP.

Output
Total moment = 0.000 μB per formula unit
DOS(E_F) = 3.323 states/eV/cell

Geometry as Quantum ESPRESSO input:
```
&SYSTEM
  ibrav = 0, nat = 10, ntyp = 3
/
ATOMIC_SPECIES
Mg 24.30 Mg.upf
Tl 204.38 Tl.upf
Bi 208.98 Bi.upf
CELL_PARAMETERS angstrom
4.675 0.000 0.000
-2.315 7.697 0.000
-0.029 -3.072 8.237
ATOMIC_POSITIONS angstrom
Mg 0.001 -0.295 1.531
Mg -0.002 1.386 4.810
Mg -0.013 3.031 7.764
Mg 2.344 1.595 0.474
Mg 2.333 3.240 3.427
Mg 2.330 4.920 6.706
Tl -0.023 0.046 7.389
Tl 2.354 4.579 0.848
Bi -0.005 4.430 4.932
Bi 2.335 0.195 3.305
```

***

x.
This record from the Alexandria database describes a geometry-optimized Mg3TlBi structure. The functional is PBE-GGA. Values from VASP.

Output
Total moment = 0.000 μB per formula unit
DOS(E_F) = 4.131 states/eV/cell

Geometry as Quantum ESPRESSO input:
```
&SYSTEM
  ibrav = 0, nat = 5, ntyp = 3
/
ATOMIC_SPECIES
Mg 24.30 Mg.upf
Tl 204.38 Tl.upf
Bi 208.98 Bi.upf
CELL_PARAMETERS angstrom
5.327 0.000 0.000
0.000 5.327 0.000
0.000 0.000 5.327
ATOMIC_POSITIONS angstrom
Mg 0.000 0.000 2.664
Mg 0.000 2.664 0.000
Mg 2.664 0.000 0.000
Tl 0.000 0.000 0.000
Bi 2.664 2.664 2.664
```

***

Relative energy table, unit meV/atom: w 0; x 289

***

w.
This record from the Alexandria database describes a geometry-optimized Mg4TlBi structure. The functional is PBE-GGA. Values from VASP.

Output
Total moment = 0.000 μB per formula unit
DOS(E_F) = 5.091 states/eV/cell

Geometry as Quantum ESPRESSO input:
```
&SYSTEM
  ibrav = 0, nat = 6, ntyp = 3
/
ATOMIC_SPECIES
Mg 24.30 Mg.upf
Tl 204.38 Tl.upf
Bi 208.98 Bi.upf
CELL_PARAMETERS angstrom
0.000 4.260 4.260
4.260 0.000 4.260
4.260 4.260 0.000
ATOMIC_POSITIONS angstrom
Mg 1.068 1.068 1.068
Mg 3.192 3.192 1.068
Mg 3.192 1.068 3.192
Mg 1.068 3.192 3.192
Tl 6.391 6.391 6.391
Bi 4.260 4.260 4.260
```

***

x.
This record from the Alexandria database describes a geometry-optimized Mg4TlBi structure. The functional is PBE-GGA. Values from VASP.

Output
Total moment = 0.000 μB per formula unit
DOS(E_F) = 4.486 states/eV/cell

Geometry as Quantum ESPRESSO input:
```
&SYSTEM
  ibrav = 0, nat = 12, ntyp = 3
/
ATOMIC_SPECIES
Mg 24.30 Mg.upf
Tl 204.38 Tl.upf
Bi 208.98 Bi.upf
CELL_PARAMETERS angstrom
4.440 0.000 0.000
-2.200 7.095 0.000
-2.185 -2.612 9.602
ATOMIC_POSITIONS angstrom
Mg 0.006 -0.059 2.412
Mg 0.008 2.346 0.036
Mg -2.184 4.605 4.829
Mg -2.179 2.232 7.192
Mg 2.235 2.251 2.410
Mg 2.240 -0.122 4.773
Mg 0.048 2.137 9.566
Mg 0.050 4.541 7.190
Tl 2.220 0.000 0.000
Tl 0.028 2.241 4.801
Bi 0.022 4.637 2.377
Bi 0.034 -0.155 7.225
```

***

Relative energy table, unit meV/atom: w 94; x 0

***

w.
This record from the Alexandria database describes a geometry-optimized Mg4Tl2Bi structure. The functional is PBE-GGA. Values from VASP.

Output
Total moment = 0.000 μB per formula unit
DOS(E_F) = 5.125 states/eV/cell

Geometry as Quantum ESPRESSO input:
```
&SYSTEM
  ibrav = 0, nat = 14, ntyp = 3
/
ATOMIC_SPECIES
Mg 24.30 Mg.upf
Tl 204.38 Tl.upf
Bi 208.98 Bi.upf
CELL_PARAMETERS angstrom
-4.467 4.467 4.585
4.467 -4.467 4.585
4.467 4.467 -4.585
ATOMIC_POSITIONS angstrom
Mg 3.719 2.981 -1.898
Mg 5.952 0.748 0.395
Mg 0.748 2.981 -0.395
Mg 0.748 1.486 2.688
Mg 1.486 -0.748 6.483
Mg 3.719 1.486 4.190
Mg 2.981 5.214 1.898
Mg -1.486 3.719 4.980
Tl 2.233 -1.070 3.439
Tl 3.396 2.233 1.146
Tl 2.233 5.537 -1.146
Tl 1.070 2.233 5.732
Bi 0.000 0.000 0.000
Bi 0.000 4.467 2.293
```

***

x.
This record from the Alexandria database describes a geometry-optimized Mg4Tl2Bi structure. The functional is PBE-GGA. Values from VASP.

Output
Total moment = 0.000 μB per formula unit
DOS(E_F) = 5.063 states/eV/cell

Geometry as Quantum ESPRESSO input:
```
&SYSTEM
  ibrav = 0, nat = 14, ntyp = 3
/
ATOMIC_SPECIES
Mg 24.30 Mg.upf
Tl 204.38 Tl.upf
Bi 208.98 Bi.upf
CELL_PARAMETERS angstrom
7.327 0.000 0.000
-2.509 7.430 0.000
-2.160 -3.773 6.741
ATOMIC_POSITIONS angstrom
Mg 0.000 0.000 0.000
Mg -1.428 -0.367 3.171
Mg -1.658 3.564 3.933
Mg 0.692 3.709 1.371
Mg 1.350 6.759 0.308
Mg 2.805 1.251 2.660
Mg 2.924 -1.457 4.797
Mg 3.816 4.607 0.893
Tl -3.013 1.151 5.568
Tl -1.086 6.066 2.208
Tl 0.146 -1.731 6.136
Tl 0.538 1.387 4.805
Bi 2.608 4.127 3.750
Bi 5.449 2.001 1.193
```

***

Relative energy table, unit meV/atom: w 9; x 0

***

w.
This record from the Alexandria database describes a geometry-optimized MgTl2Bi2 structure. The functional is PBE-GGA. Values from VASP.

Output
Total moment = 0.000 μB per formula unit
DOS(E_F) = 2.465 states/eV/cell

Geometry as Quantum ESPRESSO input:
```
&SYSTEM
  ibrav = 0, nat = 5, ntyp = 3
/
ATOMIC_SPECIES
Mg 24.30 Mg.upf
Tl 204.38 Tl.upf
Bi 208.98 Bi.upf
CELL_PARAMETERS angstrom
-2.162 2.162 8.694
2.162 -2.162 8.694
2.162 2.162 -8.694
ATOMIC_POSITIONS angstrom
Mg 0.000 0.000 0.000
Tl 2.162 0.000 4.347
Tl 0.000 2.162 4.347
Bi 0.000 0.000 7.189
Bi 0.000 0.000 10.199
```

***

x.
This record from the Alexandria database describes a geometry-optimized MgTl2Bi2 structure. The functional is PBE-GGA. Values from VASP.

Output
Total moment = 0.000 μB per formula unit
DOS(E_F) = 6.859 states/eV/cell

Geometry as Quantum ESPRESSO input:
```
&SYSTEM
  ibrav = 0, nat = 10, ntyp = 3
/
ATOMIC_SPECIES
Mg 24.30 Mg.upf
Tl 204.38 Tl.upf
Bi 208.98 Bi.upf
CELL_PARAMETERS angstrom
7.872 0.000 0.000
0.000 7.872 0.000
0.000 0.000 5.098
ATOMIC_POSITIONS angstrom
Mg 0.000 0.000 0.000
Mg 3.936 3.936 0.000
Tl 1.228 2.708 0.000
Tl 2.708 6.644 0.000
Tl 5.164 1.228 0.000
Tl 6.644 5.164 0.000
Bi 1.101 5.037 2.549
Bi 2.835 1.101 2.549
Bi 5.037 6.771 2.549
Bi 6.771 2.835 2.549
```

***

Relative energy table, unit meV/atom: w 0; x 20

***

w.
This record from the Alexandria database describes a geometry-optimized MgTl2Bi2 structure. The functional is PBE-GGA. Values from VASP.

Output
Total moment = 0.000 μB per formula unit
DOS(E_F) = 5.135 states/eV/cell

Geometry as Quantum ESPRESSO input:
```
&SYSTEM
  ibrav = 0, nat = 10, ntyp = 3
/
ATOMIC_SPECIES
Mg 24.30 Mg.upf
Tl 204.38 Tl.upf
Bi 208.98 Bi.upf
CELL_PARAMETERS angstrom
5.215 0.000 0.000
2.584 5.075 0.000
2.592 -0.814 11.923
ATOMIC_POSITIONS angstrom
Mg 1.315 -0.052 1.133
Mg 9.076 4.313 10.790
Tl 3.907 1.191 6.667
Tl 3.891 1.664 2.943
Tl 6.500 2.597 8.980
Tl 6.484 3.069 5.256
Bi 1.278 -0.150 4.312
Bi 3.886 0.888 10.566
Bi 6.505 3.372 1.357
Bi 9.113 4.411 7.611
```

***

x.
This record from the Alexandria database describes a geometry-optimized MgTl2Bi2 structure. The functional is PBE-GGA. Values from VASP.

Output
Total moment = 0.000 μB per formula unit
DOS(E_F) = 2.515 states/eV/cell

Geometry as Quantum ESPRESSO input:
```
&SYSTEM
  ibrav = 0, nat = 10, ntyp = 3
/
ATOMIC_SPECIES
Mg 24.30 Mg.upf
Tl 204.38 Tl.upf
Bi 208.98 Bi.upf
CELL_PARAMETERS angstrom
7.763 0.000 0.000
0.000 7.763 0.000
0.000 0.000 5.510
ATOMIC_POSITIONS angstrom
Mg 0.000 0.000 0.000
Mg 3.882 3.882 0.000
Tl 1.302 2.579 2.755
Tl 2.579 6.461 2.755
Tl 5.184 1.302 2.755
Tl 6.461 5.184 2.755
Bi 1.088 4.969 0.000
Bi 2.794 1.088 0.000
Bi 4.969 6.676 0.000
Bi 6.676 2.794 0.000
```

***

Relative energy table, unit meV/atom: w 0; x 16

***

w.
This record from the Alexandria database describes a geometry-optimized TmMgBi structure. The functional is PBE-GGA. Values from VASP.

Output
Total moment = 0.000 μB per formula unit
DOS(E_F) = 4.159 states/eV/cell

Geometry as Quantum ESPRESSO input:
```
&SYSTEM
  ibrav = 0, nat = 6, ntyp = 3
/
ATOMIC_SPECIES
Tm 168.93 Tm.upf
Mg 24.30 Mg.upf
Bi 208.98 Bi.upf
CELL_PARAMETERS angstrom
3.137 -3.156 0.000
3.137 3.156 0.000
-3.013 0.000 8.580
ATOMIC_POSITIONS angstrom
Tm 0.038 0.000 3.022
Tm 3.223 0.000 5.558
Mg 1.464 0.000 0.006
Mg 1.797 0.000 8.574
Bi 0.086 0.000 6.096
Bi 3.175 0.000 2.484
```

***

x.
This record from the Alexandria database describes a geometry-optimized TmMgBi structure. The functional is PBE-GGA. Values from VASP.

Output
Total moment = 0.000 μB per formula unit
DOS(E_F) = 0.727 states/eV/cell

Geometry as Quantum ESPRESSO input:
```
&SYSTEM
  ibrav = 0, nat = 3, ntyp = 3
/
ATOMIC_SPECIES
Tm 168.93 Tm.upf
Mg 24.30 Mg.upf
Bi 208.98 Bi.upf
CELL_PARAMETERS angstrom
4.851 0.000 0.000
-2.425 4.201 0.000
0.000 0.000 3.976
ATOMIC_POSITIONS angstrom
Tm 0.000 0.000 0.000
Mg 2.425 1.400 1.791
Bi 0.000 2.801 2.146
```

***

Relative energy table, unit meV/atom: w 0; x 83